Below is a relaxed SrY2Cu crystal, with properties calculated at the PBE level.

- Density of states at the Fermi level: 0.76 states/eV per atom
- Relative energy among the computed polymorphs: 180.2 meV/atom
- ΔH_f (0 K): 0.1876 eV/atom
- Mass density: 4.253 g/cm³

Structure (CIF):
```
data_SrY2Cu
_chemical_formula_sum 'Sr2 Y4 Cu2'
_space_group_name_H-M_alt 'P 1'
_space_group_IT_number 1
_cell_length_a 7.050
_cell_length_b 7.050
_cell_length_c 7.050
_cell_angle_alpha 102.82
_cell_angle_beta 102.82
_cell_angle_gamma 123.79
loop_
_space_group_symop_operation_xyz
'x,y,z'
loop_
_atom_site_label
_atom_site_type_symbol
_atom_site_fract_x
_atom_site_fract_y
_atom_site_fract_z
Sr1 Sr 0.000 0.000 0.000
Sr2 Sr 0.750 0.250 0.500
Y1 Y 0.206 0.625 0.081
Y2 Y 0.375 0.456 0.581
Y3 Y 0.544 0.125 0.919
Y4 Y 0.875 0.794 0.419
Cu1 Cu 0.250 0.750 0.500
Cu2 Cu 0.500 0.500 0.000
```

---

Below is a relaxed Tl3Ag2Br4 crystal, with properties calculated at the PBE level.

- Density of states at the Fermi level: 0.19 states/eV per atom
- ΔE_f (raw): -0.483 eV per atom
- Mass density: 6.264 g/cm³

Structure (CIF):
```
data_Tl3Ag2Br4
_chemical_formula_sum 'Tl6 Ag4 Br8'
_space_group_name_H-M_alt 'P 1'
_space_group_IT_number 1
_cell_length_a 9.333
_cell_length_b 9.333
_cell_length_c 7.544
_cell_angle_alpha 99.98
_cell_angle_beta 99.98
_cell_angle_gamma 71.53
loop_
_space_group_symop_operation_xyz
'x,y,z'
loop_
_atom_site_label
_atom_site_type_symbol
_atom_site_fract_x
_atom_site_fract_y
_atom_site_fract_z
Tl1 Tl 0.098 0.902 0.750
Tl2 Tl 0.232 0.474 0.337
Tl3 Tl 0.474 0.232 0.837
Tl4 Tl 0.526 0.768 0.163
Tl5 Tl 0.768 0.526 0.663
Tl6 Tl 0.902 0.098 0.250
Ag1 Ag 0.043 0.344 0.980
Ag2 Ag 0.344 0.043 0.480
Ag3 Ag 0.656 0.957 0.520
Ag4 Ag 0.957 0.656 0.020
Br1 Br 0.093 0.255 0.604
Br2 Br 0.255 0.093 0.104
Br3 Br 0.259 0.619 0.975
Br4 Br 0.381 0.741 0.525
Br5 Br 0.619 0.259 0.475
Br6 Br 0.741 0.381 0.025
Br7 Br 0.745 0.907 0.896
Br8 Br 0.907 0.745 0.396
```

---

Below is a relaxed TcSe2I crystal, with properties calculated at the PBE level.

- Density of states at the Fermi level: 0.46 states/eV per atom
- ΔE_f (raw): -0.083 eV per atom
- Relative energy among the computed polymorphs: 125.1 meV/atom
- Mass density: 5.160 g/cm³

Structure (CIF):
```
data_TcSe2I
_chemical_formula_sum 'Tc8 Se16 I8'
_space_group_name_H-M_alt 'P 1'
_space_group_IT_number 1
_cell_length_a 7.070
_cell_length_b 7.070
_cell_length_c 19.855
_cell_angle_alpha 94.76
_cell_angle_beta 94.76
_cell_angle_gamma 89.93
loop_
_space_group_symop_operation_xyz
'x,y,z'
loop_
_atom_site_label
_atom_site_type_symbol
_atom_site_fract_x
_atom_site_fract_y
_atom_site_fract_z
Tc1 Tc 0.136 0.692 0.798
Tc2 Tc 0.307 0.486 0.700
Tc3 Tc 0.308 0.864 0.702
Tc4 Tc 0.486 0.307 0.200
Tc5 Tc 0.514 0.693 0.800
Tc6 Tc 0.692 0.136 0.298
Tc7 Tc 0.693 0.514 0.300
Tc8 Tc 0.864 0.308 0.202
Se1 Se 0.024 0.397 0.745
Se2 Se 0.027 0.973 0.750
Se3 Se 0.157 0.297 0.131
Se4 Se 0.297 0.157 0.631
Se5 Se 0.301 0.655 0.601
Se6 Se 0.345 0.699 0.899
Se7 Se 0.395 0.605 0.250
Se8 Se 0.397 0.024 0.245
Se9 Se 0.603 0.976 0.755
Se10 Se 0.605 0.395 0.750
Se11 Se 0.655 0.301 0.101
Se12 Se 0.699 0.345 0.399
Se13 Se 0.703 0.843 0.369
Se14 Se 0.843 0.703 0.869
Se15 Se 0.973 0.027 0.250
Se16 Se 0.976 0.603 0.255
I1 I 0.144 0.758 0.080
I2 I 0.235 0.351 0.431
I3 I 0.242 0.856 0.420
I4 I 0.351 0.235 0.931
I5 I 0.649 0.765 0.069
I6 I 0.758 0.144 0.580
I7 I 0.765 0.649 0.569
I8 I 0.856 0.242 0.920
```

---

Below is a relaxed YScPCl2 crystal, with properties calculated at the PBE level.

- Density of states at the Fermi level: 0.67 states/eV per atom
- ΔE_f (raw): -1.098 eV per atom
- Relative energy among the computed polymorphs: 0.0 meV/atom
- Mass density: 3.260 g/cm³

Structure (CIF):
```
data_YScPCl2
_chemical_formula_sum 'Y1 Sc1 P1 Cl2'
_space_group_name_H-M_alt 'P 1'
_space_group_IT_number 1
_cell_length_a 4.749
_cell_length_b 4.749
_cell_length_c 5.325
_cell_angle_alpha 90.00
_cell_angle_beta 90.00
_cell_angle_gamma 90.00
loop_
_space_group_symop_operation_xyz
'x,y,z'
loop_
_atom_site_label
_atom_site_type_symbol
_atom_site_fract_x
_atom_site_fract_y
_atom_site_fract_z
Y1 Y 0.000 0.000 0.000
Sc1 Sc 0.500 0.500 0.500
P1 P 0.500 0.500 0.000
Cl1 Cl 0.000 0.500 0.500
Cl2 Cl 0.500 0.000 0.500
```

---

Below is a relaxed ZnO crystal, with properties calculated at the PBE level.

- ΔE_f (raw): -1.343 eV per atom
- Mass density: 4.981 g/cm³

Structure (CIF):
```
data_ZnO
_chemical_formula_sum 'Zn6 O6'
_space_group_name_H-M_alt 'P 1'
_space_group_IT_number 1
_cell_length_a 3.358
_cell_length_b 10.188
_cell_length_c 4.759
_cell_angle_alpha 90.00
_cell_angle_beta 90.00
_cell_angle_gamma 90.00
loop_
_space_group_symop_operation_xyz
'x,y,z'
loop_
_atom_site_label
_atom_site_type_symbol
_atom_site_fract_x
_atom_site_fract_y
_atom_site_fract_z
Zn1 Zn 0.250 0.102 0.106
Zn2 Zn 0.250 0.398 0.106
Zn3 Zn 0.250 0.750 0.389
Zn4 Zn 0.750 0.250 0.611
Zn5 Zn 0.750 0.602 0.894
Zn6 Zn 0.750 0.898 0.894
O1 O 0.250 0.250 0.374
O2 O 0.250 0.598 0.129
O3 O 0.250 0.902 0.129
O4 O 0.750 0.098 0.871
O5 O 0.750 0.402 0.871
O6 O 0.750 0.750 0.626
```

---

Below is a relaxed Ac12Tl3N5 crystal, with properties calculated at the PBE level.

- Density of states at the Fermi level: 1.03 states/eV per atom
- ΔE_f (raw): -0.615 eV per atom
- Mass density: 8.684 g/cm³

Structure (CIF):
```
data_Ac12Tl3N5
_chemical_formula_sum 'Ac48 Tl12 N20'
_space_group_name_H-M_alt 'P 1'
_space_group_IT_number 1
_cell_length_a 15.016
_cell_length_b 15.016
_cell_length_c 15.016
_cell_angle_alpha 109.47
_cell_angle_beta 109.47
_cell_angle_gamma 109.47
loop_
_space_group_symop_operation_xyz
'x,y,z'
loop_
_atom_site_label
_atom_site_type_symbol
_atom_site_fract_x
_atom_site_fract_y
_atom_site_fract_z
Ac1 Ac 0.010 0.197 0.109
Ac2 Ac 0.010 0.314 0.901
Ac3 Ac 0.087 0.697 0.686
Ac4 Ac 0.087 0.891 0.401
Ac5 Ac 0.099 0.609 0.413
Ac6 Ac 0.099 0.990 0.686
Ac7 Ac 0.109 0.010 0.197
Ac8 Ac 0.109 0.599 0.913
Ac9 Ac 0.186 0.197 0.587
Ac10 Ac 0.186 0.490 0.599
Ac11 Ac 0.197 0.109 0.010
Ac12 Ac 0.197 0.587 0.186
Ac13 Ac 0.303 0.314 0.913
Ac14 Ac 0.303 0.490 0.391
Ac15 Ac 0.314 0.901 0.010
Ac16 Ac 0.314 0.913 0.303
Ac17 Ac 0.391 0.303 0.490
Ac18 Ac 0.391 0.587 0.901
Ac19 Ac 0.401 0.087 0.891
Ac20 Ac 0.401 0.814 0.510
Ac21 Ac 0.413 0.099 0.609
Ac22 Ac 0.413 0.814 0.803
Ac23 Ac 0.490 0.391 0.303
Ac24 Ac 0.490 0.599 0.186
Ac25 Ac 0.510 0.401 0.814
Ac26 Ac 0.510 0.609 0.697
Ac27 Ac 0.587 0.186 0.197
Ac28 Ac 0.587 0.901 0.391
Ac29 Ac 0.599 0.186 0.490
Ac30 Ac 0.599 0.913 0.109
Ac31 Ac 0.609 0.413 0.099
Ac32 Ac 0.609 0.697 0.510
Ac33 Ac 0.686 0.087 0.697
Ac34 Ac 0.686 0.099 0.990
Ac35 Ac 0.697 0.510 0.609
Ac36 Ac 0.697 0.686 0.087
Ac37 Ac 0.803 0.413 0.814
Ac38 Ac 0.803 0.891 0.990
Ac39 Ac 0.814 0.510 0.401
Ac40 Ac 0.814 0.803 0.413
Ac41 Ac 0.891 0.401 0.087
Ac42 Ac 0.891 0.990 0.803
Ac43 Ac 0.901 0.010 0.314
Ac44 Ac 0.901 0.391 0.587
Ac45 Ac 0.913 0.109 0.599
Ac46 Ac 0.913 0.303 0.314
Ac47 Ac 0.990 0.686 0.099
Ac48 Ac 0.990 0.803 0.891
Tl1 Tl 0.125 0.250 0.375
Tl2 Tl 0.125 0.375 0.750
Tl3 Tl 0.250 0.375 0.125
Tl4 Tl 0.250 0.875 0.625
Tl5 Tl 0.375 0.125 0.250
Tl6 Tl 0.375 0.750 0.125
Tl7 Tl 0.625 0.250 0.875
Tl8 Tl 0.625 0.875 0.750
Tl9 Tl 0.750 0.125 0.375
Tl10 Tl 0.750 0.625 0.875
Tl11 Tl 0.875 0.625 0.250
Tl12 Tl 0.875 0.750 0.625
N1 N 0.000 0.000 0.000
N2 N 0.000 0.000 0.500
N3 N 0.000 0.500 0.000
N4 N 0.000 0.500 0.500
N5 N 0.125 0.750 0.875
N6 N 0.125 0.875 0.250
N7 N 0.250 0.125 0.875
N8 N 0.250 0.625 0.375
N9 N 0.375 0.250 0.625
N10 N 0.375 0.625 0.750
N11 N 0.500 0.000 0.000
N12 N 0.500 0.000 0.500
N13 N 0.500 0.500 0.000
N14 N 0.500 0.500 0.500
N15 N 0.625 0.375 0.250
N16 N 0.625 0.750 0.375
N17 N 0.750 0.375 0.625
N18 N 0.750 0.875 0.125
N19 N 0.875 0.125 0.750
N20 N 0.875 0.250 0.125
```

---

Below is a relaxed LiU2I8 crystal, with properties calculated at the PBE level.

- Density of states at the Fermi level: 1.78 states/eV per atom
- ΔE_f (raw): -0.725 eV per atom
- Relative energy among the computed polymorphs: 79.9 meV/atom
- Mass density: 4.832 g/cm³

Structure (CIF):
```
data_LiU2I8
_chemical_formula_sum 'Li1 U2 I8'
_space_group_name_H-M_alt 'P 1'
_space_group_IT_number 1
_cell_length_a 9.732
_cell_length_b 9.732
_cell_length_c 6.276
_cell_angle_alpha 90.00
_cell_angle_beta 90.00
_cell_angle_gamma 120.00
loop_
_space_group_symop_operation_xyz
'x,y,z'
loop_
_atom_site_label
_atom_site_type_symbol
_atom_site_fract_x
_atom_site_fract_y
_atom_site_fract_z
Li1 Li 0.000 0.000 0.000
U1 U 0.333 0.667 0.228
U2 U 0.667 0.333 0.772
I1 I 0.158 0.318 0.248
I2 I 0.160 0.842 0.248
I3 I 0.318 0.160 0.752
I4 I 0.333 0.667 0.739
I5 I 0.667 0.333 0.261
I6 I 0.682 0.840 0.248
I7 I 0.840 0.158 0.752
I8 I 0.842 0.682 0.752
```

---

Below is a relaxed ZnOs2W crystal, with properties calculated at the PBE level.

- Density of states at the Fermi level: 0.70 states/eV per atom
- ΔH_f (0 K): 0.1940 eV/atom
- Mass density: 17.562 g/cm³

Structure (CIF):
```
data_ZnOs2W
_chemical_formula_sum 'Zn1 Os2 W1'
_space_group_name_H-M_alt 'P 1'
_space_group_IT_number 1
_cell_length_a 2.743
_cell_length_b 2.743
_cell_length_c 7.915
_cell_angle_alpha 90.00
_cell_angle_beta 90.00
_cell_angle_gamma 90.00
loop_
_space_group_symop_operation_xyz
'x,y,z'
loop_
_atom_site_label
_atom_site_type_symbol
_atom_site_fract_x
_atom_site_fract_y
_atom_site_fract_z
Zn1 Zn 0.000 0.000 0.000
Os1 Os 0.000 0.000 0.471
Os2 Os 0.500 0.500 0.248
W1 W 0.500 0.500 0.739
```

---

Below is a relaxed Sr6Pd2PtI3 crystal, with properties calculated at the PBE level.

- Density of states at the Fermi level: 0.58 states/eV per atom
- ΔE_f (raw): -1.004 eV per atom
- Mass density: 5.095 g/cm³

Structure (CIF):
```
data_Sr6Pd2PtI3
_chemical_formula_sum 'Sr6 Pd2 Pt1 I3'
_space_group_name_H-M_alt 'P 1'
_space_group_IT_number 1
_cell_length_a 7.727
_cell_length_b 7.727
_cell_length_c 8.672
_cell_angle_alpha 98.53
_cell_angle_beta 98.53
_cell_angle_gamma 119.98
loop_
_space_group_symop_operation_xyz
'x,y,z'
loop_
_atom_site_label
_atom_site_type_symbol
_atom_site_fract_x
_atom_site_fract_y
_atom_site_fract_z
Sr1 Sr 0.066 0.395 0.198
Sr2 Sr 0.262 0.262 0.801
Sr3 Sr 0.395 0.066 0.198
Sr4 Sr 0.605 0.934 0.802
Sr5 Sr 0.738 0.738 0.199
Sr6 Sr 0.934 0.605 0.802
Pd1 Pd 0.334 0.666 0.000
Pd2 Pd 0.666 0.334 0.000
Pt1 Pt 0.000 0.000 0.000
I1 I 0.167 0.833 0.500
I2 I 0.500 0.500 0.500
I3 I 0.833 0.167 0.500
```

---

Below is a relaxed TlSbTe2 crystal, with properties calculated at the PBE level.

- Density of states at the Fermi level: 0.59 states/eV per atom
- ΔE_f (raw): 0.146 eV per atom
- Relative energy among the computed polymorphs: 376.5 meV/atom
- Mass density: 7.850 g/cm³

Structure (CIF):
```
data_TlSbTe2
_chemical_formula_sum 'Tl1 Sb1 Te2'
_space_group_name_H-M_alt 'P 1'
_space_group_IT_number 1
_cell_length_a 3.186
_cell_length_b 3.186
_cell_length_c 12.112
_cell_angle_alpha 90.00
_cell_angle_beta 90.00
_cell_angle_gamma 90.00
loop_
_space_group_symop_operation_xyz
'x,y,z'
loop_
_atom_site_label
_atom_site_type_symbol
_atom_site_fract_x
_atom_site_fract_y
_atom_site_fract_z
Tl1 Tl 0.000 0.000 0.000
Sb1 Sb 0.500 0.500 0.237
Te1 Te 0.000 0.000 0.471
Te2 Te 0.500 0.500 0.762
```

---

Below is a relaxed SmAl2Zn crystal, with properties calculated at the PBE level.

- Density of states at the Fermi level: 0.80 states/eV per atom
- ΔH_f (0 K): 0.2855 eV/atom
- Mass density: 5.195 g/cm³

Structure (CIF):
```
data_SmAl2Zn
_chemical_formula_sum 'Sm1 Al2 Zn1'
_space_group_name_H-M_alt 'P 1'
_space_group_IT_number 1
_cell_length_a 10.471
_cell_length_b 10.471
_cell_length_c 10.471
_cell_angle_alpha 17.06
_cell_angle_beta 17.06
_cell_angle_gamma 17.06
loop_
_space_group_symop_operation_xyz
'x,y,z'
loop_
_atom_site_label
_atom_site_type_symbol
_atom_site_fract_x
_atom_site_fract_y
_atom_site_fract_z
Sm1 Sm 0.000 0.000 0.000
Al1 Al 0.099 0.099 0.099
Al2 Al 0.901 0.901 0.901
Zn1 Zn 0.500 0.500 0.500
```

---

Below is a relaxed MgCrBr crystal, with properties calculated at the PBE level.

- Density of states at the Fermi level: 0.44 states/eV per atom
- ΔE_f (raw): 0.080 eV per atom
- Relative energy among the computed polymorphs: 0.0 meV/atom
- Mass density: 3.805 g/cm³

Structure (CIF):
```
data_MgCrBr
_chemical_formula_sum 'Mg1 Cr1 Br1'
_space_group_name_H-M_alt 'P 1'
_space_group_IT_number 1
_cell_length_a 3.551
_cell_length_b 3.551
_cell_length_c 6.242
_cell_angle_alpha 90.00
_cell_angle_beta 90.00
_cell_angle_gamma 120.00
loop_
_space_group_symop_operation_xyz
'x,y,z'
loop_
_atom_site_label
_atom_site_type_symbol
_atom_site_fract_x
_atom_site_fract_y
_atom_site_fract_z
Mg1 Mg 0.000 0.000 0.000
Cr1 Cr 0.333 0.667 0.666
Br1 Br 0.667 0.333 0.334
```